An optimized crystal structure of KBaC2O6. Source: Alexandria, functional PBE.

Structure (POSCAR):
```
KBaC2O6
1.0
4.711 -5.313 0.000
4.711 5.313 0.000
-3.006 0.000 6.968
K Ba C O
2 2 4 12
direct
0.140 0.860 0.750
0.860 0.140 0.250
0.386 0.614 0.250
0.614 0.386 0.750
0.140 0.362 0.719
0.362 0.140 0.219
0.638 0.860 0.781
0.860 0.638 0.281
0.043 0.623 0.337
0.200 0.210 0.632
0.210 0.200 0.132
0.269 0.503 0.860
0.377 0.957 0.163
0.497 0.731 0.640
0.503 0.269 0.360
0.623 0.043 0.837
0.731 0.497 0.140
0.790 0.800 0.868
0.800 0.790 0.368
0.957 0.377 0.663
```

Results
As for the crystal system: monoclinic. The value obtained for the calculated total energy is -139.0 eV/cell.



An optimized crystal structure of Ba4IrAu. Source: Alexandria, functional PBE.

Structure (POSCAR):
```
Ba4IrAu
1.0
4.755 -9.076 0.000
4.755 9.076 0.000
-4.659 0.000 6.462
Ba Ir Au
8 2 2
direct
0.043 0.412 0.244
0.179 0.282 0.730
0.282 0.179 0.230
0.412 0.043 0.744
0.588 0.957 0.256
0.718 0.821 0.770
0.821 0.718 0.270
0.957 0.588 0.756
0.074 0.926 0.750
0.926 0.074 0.250
0.427 0.573 0.250
0.573 0.427 0.750
```

Results
As for the crystal system: monoclinic. As for the formation energy: -0.318 eV per atom. The value obtained for the calculated total energy is -43.5 eV/cell.



An optimized crystal structure of K2PPbSe4. Source: Alexandria, functional PBE.

Structure (POSCAR):
```
K2PPbSe4
1.0
8.206 0.000 0.000
2.224 7.941 0.000
1.798 3.133 7.883
K P Pb Se
4 2 2 8
direct
0.000 0.000 0.000
0.006 0.158 0.463
0.046 0.628 0.551
0.536 0.595 0.547
0.506 0.084 0.571
0.964 0.421 0.081
0.461 0.207 0.110
0.523 0.746 0.026
0.198 0.529 0.921
0.287 0.913 0.243
0.322 0.901 0.711
0.366 0.351 0.399
0.631 0.114 0.764
0.710 0.969 0.407
0.792 0.443 0.893
0.835 0.629 0.210
```

Results
As for the crystal system: triclinic. The value obtained for the calculated total energy is -61.5 eV/cell.



An optimized crystal structure of Mg5ScPb8. Source: Alexandria, functional PBE.

Structure (POSCAR):
```
Mg5ScPb8
1.0
-4.586 4.586 4.660
4.586 -4.586 4.660
4.586 4.586 -4.660
Mg Sc Pb
5 1 8
direct
0.000 0.000 0.000
0.227 0.041 0.591
0.363 0.773 0.813
0.450 0.637 0.409
0.959 0.550 0.187
0.750 0.250 0.500
0.106 0.320 0.411
0.172 0.406 0.906
0.306 0.894 0.214
0.500 0.266 0.094
0.594 0.500 0.766
0.680 0.091 0.786
0.734 0.828 0.234
0.909 0.694 0.589
```

Results
As for the crystal system: tetragonal. As for the formation energy: -0.001 eV per atom. The value obtained for the calculated total energy is -44.0 eV/cell.



An optimized crystal structure of SrPbO2. Source: Alexandria, functional PBE.

Structure (POSCAR):
```
SrPbO2
1.0
6.532 0.000 0.000
0.000 3.598 0.000
-1.641 0.000 7.568
Sr Pb O
2 2 4
direct
0.246 0.250 0.441
0.754 0.750 0.559
0.243 0.750 0.849
0.757 0.250 0.151
0.037 0.250 0.707
0.411 0.750 0.638
0.589 0.250 0.362
0.963 0.750 0.293
```

Results
As for the crystal system: monoclinic. The value obtained for the calculated total energy is -46.0 eV/cell.



An optimized crystal structure of V3InSe. Source: Alexandria, functional PBE.

Structure (POSCAR):
```
V3InSe
1.0
4.542 0.000 0.000
0.000 4.542 0.000
0.000 0.000 4.542
V In Se
3 1 1
direct
0.000 0.000 0.500
0.000 0.500 0.000
0.500 0.000 0.000
0.500 0.500 0.500
0.000 0.000 0.000
```

Results
As for the crystal system: cubic. The value obtained for the calculated total energy is -31.3 eV/cell.



An optimized crystal structure of Pr4Tm3ThS8. Source: Alexandria, functional PBE.

Structure (POSCAR):
```
Pr4Tm3ThS8
1.0
3.975 2.295 6.636
-3.975 2.295 6.636
0.000 -4.590 6.636
Pr Tm Th S
4 3 1 8
direct
0.000 0.000 0.000
0.000 0.500 0.500
0.500 0.000 0.500
0.500 0.500 0.000
0.000 0.000 0.500
0.000 0.500 0.000
0.500 0.000 0.000
0.500 0.500 0.500
0.235 0.748 0.748
0.242 0.242 0.242
0.252 0.252 0.765
0.252 0.765 0.252
0.748 0.235 0.748
0.748 0.748 0.235
0.758 0.758 0.758
0.765 0.252 0.252
```

Results
As for the crystal system: trigonal. The value obtained for the calculated total energy is -104.3 eV/cell.



An optimized crystal structure of Ta2SiOs. Source: Alexandria, functional PBE.

Structure (POSCAR):
```
Ta2SiOs
1.0
3.525 0.000 0.000
0.000 4.155 0.000
0.000 0.000 4.306
Ta Si Os
2 1 1
direct
0.000 0.000 0.000
0.500 0.000 0.500
0.000 0.500 0.500
0.500 0.500 0.000
```

Results
As for the crystal system: orthorhombic. The value obtained for the calculated total energy is -41.2 eV/cell.



An optimized crystal structure of Ce3Pr2YSe6. Source: Alexandria, functional PBE.

Structure (POSCAR):
```
Ce3Pr2YSe6
1.0
3.639 -6.305 0.000
3.639 6.305 0.000
-2.430 0.000 6.884
Ce Pr Y Se
3 2 1 6
direct
0.000 0.000 0.000
0.329 0.671 0.000
0.671 0.329 0.000
0.166 0.834 0.500
0.834 0.166 0.500
0.500 0.500 0.500
0.093 0.418 0.252
0.260 0.260 0.752
0.418 0.093 0.252
0.582 0.907 0.748
0.740 0.740 0.248
0.907 0.582 0.748
```

Results
As for the crystal system: monoclinic. The value obtained for the calculated total energy is -76.6 eV/cell.



An optimized crystal structure of K2InCuO4. Source: Alexandria, functional PBE.

Structure (POSCAR):
```
K2InCuO4
1.0
-3.318 3.318 2.977
3.318 -3.318 2.977
3.318 3.318 -2.977
K In Cu O
2 1 1 4
direct
0.000 0.500 0.500
0.500 0.000 0.500
0.000 0.000 0.000
0.500 0.500 0.000
0.124 0.124 0.710
0.415 0.415 0.290
0.585 0.876 0.000
0.876 0.585 0.000
```

Results
As for the crystal system: tetragonal. The value obtained for the calculated total energy is -36.9 eV/cell.



An optimized crystal structure of EuY2Tm. Source: Alexandria, functional PBE.

Structure (POSCAR):
```
EuY2Tm
1.0
3.605 0.000 0.000
0.000 3.605 0.000
0.000 0.000 10.307
Eu Y Tm
1 2 1
direct
0.000 0.000 0.000
0.500 0.500 0.268
0.500 0.500 0.732
0.000 0.000 0.500
```

Results
As for the crystal system: tetragonal. As for the formation energy: 0.062 eV per atom. The value obtained for the calculated total energy is -27.4 eV/cell.



An optimized crystal structure of PmHoPtAu. Source: Alexandria, functional PBE.

Structure (POSCAR):
```
PmHoPtAu
1.0
0.000 3.586 3.586
3.586 0.000 3.586
3.586 3.586 0.000
Pm Ho Pt Au
1 1 1 1
direct
0.000 0.000 0.000
0.500 0.500 0.500
0.750 0.750 0.750
0.250 0.250 0.250
```

Results
As for the crystal system: cubic. As for the formation energy: -0.984 eV per atom. The value obtained for the calculated total energy is -22.6 eV/cell.